SbRu: relaxed, PBE-GGA.

The density of states at the Fermi level comes out at 2.2 states/eV/f.u. Its total energy is -6.51 eV per atom.

It has space group P4/nmm (No. 129, origin choice 2), with a = 3.8708 Å, b = 3.8708 Å, c = 6.4848 Å, α = 90.00°, β = 90.00° and γ = 90.00°. The inequivalent atoms are Sb at (0.2500, 0.2500, 0.2182) and Ru at (0.2500, 0.7500, 0.5000).

=====

Sb3Ru: relaxed, PBE-GGA.

The density of states at the Fermi level comes out at 3.2 states/eV/f.u. The calculation puts the distance to the lowest polymorph of the same formula at 58 meV per atom. Its total energy is -5.35 eV per atom.

It has space group P2/m (No. 10), with a = 3.1693 Å, b = 3.2208 Å, c = 9.3791 Å, α = 90.00°, β = 96.25° and γ = 90.00°. The inequivalent atoms are Sb at (0.0000, 0.0000, 0.0000), Sb at (0.0548, 0.5000, 0.6820) and Ru at (0.5000, 0.0000, 0.5000).

=====

SbRu3: relaxed, PBE-GGA.

The density of states at the Fermi level comes out at 6.3 states/eV/f.u. Its total energy is -7.81 eV per atom.

It has space group I4/mmm (No. 139), with a = 3.9730 Å, b = 3.9730 Å, c = 15.6453 Å, α = 90.00°, β = 90.00° and γ = 90.00°. The inequivalent atoms are Sb at (0.0000, 0.0000, 0.1202), Ru at (0.0000, 0.0000, 0.3701), Ru at (0.0000, 0.5000, 0.0000) and Ru at (0.0000, 0.5000, 0.2500).

=====

Sb2Ru: relaxed, PBE-GGA.

The density of states at the Fermi level comes out at 1.5 states/eV/f.u. Its total energy is -5.85 eV per atom.

It has space group C2/m (No. 12), with a = 11.9456 Å, b = 3.3306 Å, c = 7.3344 Å, α = 90.00°, β = 105.50° and γ = 90.00°. The inequivalent atoms are Sb at (0.0214, 0.0000, 0.2278), Sb at (0.2083, 0.5000, 0.7225) and Ru at (0.1366, 0.5000, 0.0472).

=====

SbRu3: relaxed, PBE-GGA.

The density of states at the Fermi level comes out at 4.0 states/eV/f.u. Its total energy is -7.72 eV per atom.

It has space group Pmmm (No. 47), with a = 2.9069 Å, b = 3.8042 Å, c = 5.6381 Å, α = 90.00°, β = 90.00° and γ = 90.00°. The inequivalent atoms are Sb at (0.0000, 0.0000, 0.0000), Ru at (0.0000, 0.0000, 0.5000) and Ru at (0.5000, 0.5000, 0.2656).

=====

Sb3Ru: relaxed, PBE-GGA.

The density of states at the Fermi level comes out at 3.6 states/eV/f.u. The calculation puts the distance to the lowest polymorph of the same formula at 4 meV per atom. Its total energy is -5.41 eV per atom.

It has space group Pmmn (No. 59, origin choice 2), with a = 3.8213 Å, b = 8.4239 Å, c = 6.0853 Å, α = 90.00°, β = 90.00° and γ = 90.00°. The inequivalent atoms are Sb at (0.2500, 0.0628, 0.1941), Sb at (0.2500, 0.2500, 0.6614) and Ru at (0.2500, 0.7500, 0.0328).

=====

Sb2Ru: relaxed, PBE-GGA.

The density of states at the Fermi level comes out at 3.3 states/eV/f.u. Its total energy is -5.47 eV per atom.

It has space group P-3m1 (No. 164), with a = 4.7184 Å, b = 4.7184 Å, c = 3.3307 Å, α = 90.00°, β = 90.00° and γ = 120.00°. The inequivalent atoms are Sb at (0.3333, 0.6667, 0.2064) and Ru at (0.0000, 0.0000, 0.0000).

=====

SbRu5: relaxed, PBE-GGA.

The density of states at the Fermi level comes out at 4.8 states/eV/f.u. The calculation puts the distance to the lowest polymorph of the same formula at 0 meV per atom. Its total energy is -8.32 eV per atom.

It has space group Cmmm (No. 65), with a = 3.8857 Å, b = 11.9656 Å, c = 3.8799 Å, α = 90.00°, β = 90.00° and γ = 90.00°. The inequivalent atoms are Sb at (0.0000, 0.0000, 0.0000), Ru at (0.0000, 0.1766, 0.5000), Ru at (0.0000, 0.3208, 0.0000) and Ru at (0.0000, 0.5000, 0.5000).

=====

SbRu5: relaxed, PBE-GGA.

The density of states at the Fermi level comes out at 5.0 states/eV/f.u. The calculation puts the distance to the lowest polymorph of the same formula at 196 meV per atom. Its total energy is -8.13 eV per atom.

It has space group P4/mmm (No. 123), with a = 2.8455 Å, b = 2.8455 Å, c = 11.1592 Å, α = 90.00°, β = 90.00° and γ = 90.00°. The inequivalent atoms are Sb at (0.0000, 0.0000, 0.0000), Ru at (0.0000, 0.0000, 0.3348), Ru at (0.5000, 0.5000, 0.1761) and Ru at (0.5000, 0.5000, 0.5000).

=====

SbRu3: relaxed, PBE-GGA.

The density of states at the Fermi level comes out at 3.9 states/eV/f.u. Its total energy is -7.70 eV per atom.

It has space group Immm (No. 71), with a = 3.0908 Å, b = 4.4831 Å, c = 9.0331 Å, α = 90.00°, β = 90.00° and γ = 90.00°. The inequivalent atoms are Sb at (0.0000, 0.0000, 0.0000), Ru at (0.0000, 0.0000, 0.5000) and Ru at (0.0000, 0.5000, 0.2711).

=====

SbRu: relaxed, PBE-GGA.

The density of states at the Fermi level comes out at 1.1 states/eV/f.u. Its total energy is -6.24 eV per atom.

It has space group F-43m (No. 216), with a = 5.8931 Å, b = 5.8931 Å, c = 5.8931 Å, α = 90.00°, β = 90.00° and γ = 90.00°. The inequivalent atoms are Sb at (0.0000, 0.0000, 0.0000) and Ru at (0.2500, 0.2500, 0.2500).

=====

SbRu: relaxed, PBE-GGA.

The density of states at the Fermi level comes out at 2.6 states/eV/f.u. Its total energy is -6.05 eV per atom.

It has space group Fd-3m (No. 227, origin choice 2), with a = 6.6643 Å, b = 6.6643 Å, c = 6.6643 Å, α = 90.00°, β = 90.00° and γ = 90.00°. The inequivalent atoms are Sb at (0.1250, 0.1250, 0.1250) and Ru at (0.1250, 0.1250, 0.6250).